Record 1
VASP calculation (PBE) on a geometry-optimized BeNiMo2 structure.

The crystal system is cubic. The density of states at the Fermi level comes out at 3.9 states/eV/cell.

a = 4.2205 Å, b = 4.2205 Å, c = 4.2205 Å
α = 60.00°, β = 60.00°, γ = 60.00°
Last column: nearest neighbours and their distance in Å.
Positions (direct):
Be 0.0000 0.0000 0.0000  4 Mo 2.58, 4 Ni 2.58
Ni 0.2500 0.2500 0.2500  4 Mo 2.58, 4 Be 2.58
Mo 0.5000 0.5000 0.5000  4 Mo 2.58, 4 Ni 2.58
Mo 0.7500 0.7500 0.7500  4 Mo 2.58, 4 Be 2.58

***

Record 2
VASP calculation (PBE) on a geometry-optimized BeNiMo structure.

The crystal system is monoclinic. The density of states at the Fermi level comes out at 3.5 states/eV/cell. The distance to the lowest polymorph of the same formula comes out at 0.177 eV per atom.

a = 4.5954 Å, b = 4.5954 Å, c = 6.6798 Å
α = 112.59°, β = 112.59°, γ = 32.59°
Last column: nearest neighbours and their distance in Å.
Positions (direct):
Be 0.0000 0.0000 0.0000  2 Be 2.29, 2 Ni 2.31, 1 Mo 2.52
Be 0.6135 0.6135 0.8114  4 Ni 2.22-2.28, 2 Be 2.29
Ni 0.2997 0.2997 0.7405  4 Be 2.28-2.31
Ni 0.9520 0.9520 0.5396  2 Be 2.22
Mo 0.3113 0.3113 0.1481  5 Be 2.52-2.59, 3 Mo 2.58-2.65, 3 Ni 2.68-2.73
Mo 0.6353 0.6353 0.3755  5 Ni 2.56-2.63, 3 Mo 2.58-2.65, 2 Be 2.64

***

Record 3
VASP calculation (PBE) on a geometry-optimized BeNiMo structure.

The crystal system is monoclinic. The density of states at the Fermi level comes out at 5.6 states/eV/cell. The distance to the lowest polymorph of the same formula comes out at 0.291 eV per atom.

a = 3.5370 Å, b = 3.5171 Å, c = 5.9842 Å
α = 90.00°, β = 107.12°, γ = 90.00°
Last column: nearest neighbours and their distance in Å.
Positions (direct):
Be 0.0000 0.0000 0.0000  2 Be 2.45-2.46, 6 Ni 2.47-2.50, 4 Mo 2.59-2.60
Be 0.3510 0.0000 0.7023  2 Ni 2.42, 2 Be 2.45-2.46, 4 Mo 2.50
Ni 0.4951 0.5000 0.9926  6 Be 2.42-2.50, 2 Ni 2.50, 4 Mo 2.57-2.64
Ni 0.6502 0.0000 0.3023  2 Be 2.47, 2 Ni 2.50, 6 Mo 2.50-2.73
Mo 0.1657 0.5000 0.3342  6 Ni 2.50-2.64, 2 Mo 2.59-2.60, 4 Be 2.60-2.74
Mo 0.8333 0.5000 0.6670  6 Be 2.50-2.59, 4 Ni 2.57-2.73, 2 Mo 2.59-2.60

***

Record 4
VASP calculation (PBE) on a geometry-optimized BeNiMo2 structure.

The crystal system is tetragonal. The density of states at the Fermi level comes out at 2.7 states/eV/cell.

a = 4.7019 Å, b = 4.7019 Å, c = 4.7019 Å
α = 134.66°, β = 134.66°, γ = 66.06°
Last column: nearest neighbours and their distance in Å.
Positions (direct):
Be 0.0000 0.0000 0.0000  4 Ni 2.56, 8 Mo 2.68
Ni 0.5000 0.5000 0.0000  4 Be 2.56, 8 Mo 2.68
Mo 0.2500 0.7500 0.5000  4 Mo 2.56, 4 Ni 2.68, 4 Be 2.68
Mo 0.7500 0.2500 0.5000  4 Mo 2.56, 4 Ni 2.68, 4 Be 2.68

***

Number 1: formation energy from the elements 0.21 eV per atom. Number 2: formation energy from the elements -0.08 eV per atom. Number 3: formation energy from the elements 0.03 eV per atom. Number 4: formation energy from the elements 0.03 eV per atom.